Entry 1
Na2RhCl6 | PBE-GGA | relaxed

Summary:
As for the crystal system: monoclinic. The calculation puts the size of the total moment at 1.08 μB per formula unit. The density of states at the Fermi level comes out at 14.34 states/eV per cell.

```
18
Lattice="6.6425 0.0000 0.0000 0.0000 6.9300 0.0000 -6.1941 0.0000 9.4456" Properties=species:S:1:pos:R:3 pbc="T T T"
Na -0.1033 0.6564 2.1879
Na -3.2003 2.8086 6.9107
Na 3.6487 4.1214 2.5349
Na 0.5517 6.2736 7.2577
Rh 3.3213 0.0000 0.0000
Rh 0.2242 3.4650 4.7228
Cl -4.7910 1.2662 8.9135
Cl -1.6939 2.1988 4.1907
Cl -4.0279 4.9600 8.9395
Cl -0.9309 5.4350 4.2167
Cl -2.1690 0.1632 7.2172
Cl 0.9281 3.3018 2.4944
Cl -0.4797 3.6282 6.9513
Cl 2.6174 6.7668 2.2284
Cl 1.3793 1.4950 5.2289
Cl 4.4763 1.9700 0.5061
Cl 2.1424 4.7312 5.2549
Cl 5.2394 5.6638 0.5321
```

***

Entry 2
Na2RhCl6 | PBE-GGA | relaxed

Summary:
As for the crystal system: tetragonal. The calculation puts the size of the total moment at 1.09 μB per formula unit. The density of states at the Fermi level comes out at 13.21 states/eV per cell.

```
18
Lattice="6.2370 0.0000 0.0000 0.0000 6.2370 0.0000 0.0000 0.0000 11.9921" Properties=species:S:1:pos:R:3 pbc="T T T"
Na 0.0000 0.0000 2.0177
Na 0.0000 0.0000 9.9744
Na 3.1185 3.1185 3.9784
Na 3.1185 3.1185 8.0137
Rh 0.0000 0.0000 5.9961
Rh 3.1185 3.1185 0.0000
Cl 1.1458 1.1458 4.2892
Cl 1.1458 1.1458 7.7029
Cl 1.4689 1.4689 0.0000
Cl 1.6496 4.5874 5.9961
Cl 1.9727 4.2643 1.7069
Cl 1.9727 4.2643 10.2852
Cl 4.2643 1.9727 1.7069
Cl 4.2643 1.9727 10.2852
Cl 4.5874 1.6496 5.9961
Cl 4.7681 4.7681 0.0000
Cl 5.0912 5.0912 4.2892
Cl 5.0912 5.0912 7.7029
```

***

Stability verdict: entry 1, ahead by 40 meV/atom

***

Entry 1
Na2RuCl | PBE-GGA | relaxed

Summary:
As for the crystal system: tetragonal. The calculation puts the size of the total moment at 0.00 μB per formula unit. The density of states at the Fermi level comes out at 9.44 states/eV per cell.

```
8
Lattice="-4.9889 4.9889 2.1913 4.9889 -4.9889 2.1913 4.9889 4.9889 -2.1913" Properties=species:S:1:pos:R:3 pbc="T T T"
Na 1.0033 2.4945 0.5478
Na -2.4945 3.9857 1.6435
Na -1.0033 7.4834 0.5478
Na 2.4945 5.9922 1.6435
Ru 4.9889 0.0000 1.0957
Ru 0.0000 0.0000 2.1913
Cl 0.0000 0.0000 0.0000
Cl 0.0000 4.9889 1.0957
```

***

Entry 2
Na2RuCl | PBE-GGA | relaxed

Summary:
As for the crystal system: cubic. The calculation puts the size of the total moment at 2.99 μB per formula unit. The density of states at the Fermi level comes out at 8.64 states/eV per cell.

```
4
Lattice="0.0000 3.6331 3.6331 3.6331 0.0000 3.6331 3.6331 3.6331 0.0000" Properties=species:S:1:pos:R:3 pbc="T T T"
Na 1.8166 1.8166 1.8166
Na 5.4497 5.4497 5.4497
Ru 0.0000 0.0000 0.0000
Cl 3.6331 3.6331 3.6331
```

***

Stability verdict: entry 1, ahead by 191 meV/atom

***

Entry 1
Na2RuCl6 | PBE-GGA | relaxed

Summary:
As for the crystal system: tetragonal. The calculation puts the size of the total moment at 2.00 μB per formula unit. The density of states at the Fermi level comes out at 12.53 states/eV per cell.

```
18
Lattice="6.2751 0.0000 0.0000 0.0000 6.2751 0.0000 0.0000 0.0000 11.9859" Properties=species:S:1:pos:R:3 pbc="T T T"
Na 0.0000 0.0000 2.0141
Na 0.0000 0.0000 9.9718
Na 3.1375 3.1375 3.9789
Na 3.1375 3.1375 8.0070
Ru 0.0000 0.0000 5.9929
Ru 3.1375 3.1375 0.0000
Cl 1.1537 1.1537 4.2877
Cl 1.1537 1.1537 7.6982
Cl 1.4831 1.4831 0.0000
Cl 1.6545 4.6206 5.9929
Cl 1.9838 4.2913 1.7053
Cl 1.9838 4.2913 10.2806
Cl 4.2913 1.9838 1.7053
Cl 4.2913 1.9838 10.2806
Cl 4.6206 1.6545 5.9929
Cl 4.7920 4.7920 0.0000
Cl 5.1214 5.1214 4.2877
Cl 5.1214 5.1214 7.6982
```

***

Entry 2
Na2RuCl6 | PBE-GGA | relaxed

Summary:
As for the crystal system: monoclinic. The calculation puts the size of the total moment at 2.00 μB per formula unit. The density of states at the Fermi level comes out at 11.68 states/eV per cell.

```
18
Lattice="6.6660 0.0000 0.0000 0.0000 6.9824 0.0000 -6.1940 0.0000 9.5700" Properties=species:S:1:pos:R:3 pbc="T T T"
Na -0.1053 0.6658 2.1940
Na -3.2023 2.8253 6.9790
Na 3.6743 4.1570 2.5910
Na 0.5773 6.3165 7.3760
Ru 3.3330 0.0000 0.0000
Ru 0.2360 3.4912 4.7850
Cl -4.7856 1.2668 9.0322
Cl -1.6886 2.2244 4.2473
Cl -3.9934 5.0097 9.0088
Cl -0.8964 5.4639 4.2239
Cl -2.1261 0.2139 7.3471
Cl 0.9709 3.2773 2.5622
Cl -0.4988 3.7051 7.0078
Cl 2.5982 6.7685 2.2228
Cl 1.3684 1.5185 5.3461
Cl 4.4654 1.9727 0.5611
Cl 2.1607 4.7579 5.3227
Cl 5.2577 5.7156 0.5377
```

***

Stability verdict: entry 2, ahead by 34 meV/atom

***

Entry 1
NaRuCl2 | PBE-GGA | relaxed

Summary:
As for the crystal system: cubic. The calculation puts the size of the total moment at 3.00 μB per formula unit. The density of states at the Fermi level comes out at 0.00 states/eV per cell.

```
4
Lattice="0.0000 3.3524 3.3524 3.3524 0.0000 3.3524 3.3524 3.3524 0.0000" Properties=species:S:1:pos:R:3 pbc="T T T"
Na 0.0000 0.0000 0.0000
Ru 3.3524 3.3524 3.3524
Cl 1.6762 1.6762 1.6762
Cl 5.0286 5.0286 5.0286
```

***

Entry 2
NaRuCl2 | PBE-GGA | relaxed

Summary:
As for the crystal system: tetragonal. The calculation puts the size of the total moment at 0.00 μB per formula unit. The density of states at the Fermi level comes out at 6.12 states/eV per cell.

```
8
Lattice="-2.7422 2.7422 6.4688 2.7422 -2.7422 6.4688 2.7422 2.7422 -6.4688" Properties=species:S:1:pos:R:3 pbc="T T T"
Na 0.0000 0.0000 0.0000
Na 0.0000 2.7422 3.2344
Ru 2.7422 0.0000 3.2344
Ru 0.0000 0.0000 6.4688
Cl 1.3711 -1.0435 4.8516
Cl 1.6988 1.3711 1.6172
Cl 1.3711 3.7857 -1.6172
Cl 1.0435 1.3711 8.0860
```

***

Stability verdict: entry 2, ahead by 44 meV/atom

***

Entry 1
NaRuCl2 | PBE-GGA | relaxed

Summary:
As for the crystal system: trigonal. The calculation puts the size of the total moment at 2.14 μB per formula unit. The density of states at the Fermi level comes out at 3.54 states/eV per cell.

```
4
Lattice="1.7220 0.9942 8.2123 -1.7220 0.9942 8.2123 0.0000 -1.9884 8.2123" Properties=species:S:1:pos:R:3 pbc="T T T"
Na 0.0000 0.0000 0.0000
Ru 0.0000 0.0000 12.3184
Cl 0.0000 0.0000 10.0061
Cl 0.0000 0.0000 14.6307
```

***

Entry 2
NaRuCl2 | PBE-GGA | relaxed

Summary:
As for the crystal system: trigonal. The calculation puts the size of the total moment at 0.00 μB per formula unit. The density of states at the Fermi level comes out at 1.37 states/eV per cell.

```
4
Lattice="1.8419 1.0634 8.2577 -1.8419 1.0634 8.2577 0.0000 -2.1268 8.2577" Properties=species:S:1:pos:R:3 pbc="T T T"
Na 0.0000 0.0000 0.0000
Ru 0.0000 0.0000 12.3866
Cl 0.0000 0.0000 2.9203
Cl 0.0000 0.0000 21.8530
```

***

Stability verdict: entry 1, ahead by 152 meV/atom

***

Entry 1
NaRuCl3 | PBE-GGA | relaxed

Summary:
As for the crystal system: cubic. The calculation puts the size of the total moment at 4.00 μB per formula unit. The density of states at the Fermi level comes out at 5.67 states/eV per cell.

```
5
Lattice="4.9774 0.0000 0.0000 0.0000 4.9774 0.0000 0.0000 0.0000 4.9774" Properties=species:S:1:pos:R:3 pbc="T T T"
Na 0.0000 0.0000 0.0000
Ru 2.4887 2.4887 2.4887
Cl 0.0000 0.0000 2.4887
Cl 0.0000 2.4887 0.0000
Cl 2.4887 0.0000 0.0000
```

***

Entry 2
NaRuCl3 | PBE-GGA | relaxed

Summary:
As for the crystal system: cubic. The calculation puts the size of the total moment at 1.52 μB per formula unit. The density of states at the Fermi level comes out at 7.01 states/eV per cell.

```
5
Lattice="4.8739 0.0000 0.0000 0.0000 4.8739 0.0000 0.0000 0.0000 4.8739" Properties=species:S:1:pos:R:3 pbc="T T T"
Na 0.0000 0.0000 0.0000
Ru 2.4370 2.4370 2.4370
Cl 0.0000 2.4370 2.4370
Cl 2.4370 0.0000 2.4370
Cl 2.4370 2.4370 0.0000
```

***

Stability verdict: entry 2, ahead by 836 meV/atom

***

Entry 1
Na3RuCl6 | PBE-GGA | relaxed

Summary:
As for the crystal system: monoclinic. The calculation puts the size of the total moment at 1.01 μB per formula unit. The density of states at the Fermi level comes out at 17.20 states/eV per cell.

```
20
Lattice="6.6980 0.0000 0.0000 0.0000 7.0604 0.0000 -6.6748 0.0000 9.8003" Properties=species:S:1:pos:R:3 pbc="T T T"
Na 0.0000 0.0000 0.0000
Na -3.3374 3.5302 4.9001
Na -3.1223 0.6030 7.3348
Na 0.2151 2.9273 2.4347
Na -0.1919 4.1332 7.3656
Na 3.1455 6.4575 2.4654
Ru 0.0116 0.0000 4.9001
Ru 3.3490 3.5302 0.0000
Cl -0.8699 0.3204 2.6993
Cl -4.2073 3.2098 7.5995
Cl 1.4064 4.7661 0.6202
Cl -1.9310 5.8246 5.5203
Cl 2.2666 1.5163 0.6864
Cl -1.0707 2.0140 5.5865
Cl 1.0940 5.0465 4.2137
Cl -2.2434 5.5442 9.1139
Cl 1.9543 1.2359 4.2799
Cl -1.3831 2.2943 9.1801
Cl 4.2305 3.8507 2.2008
Cl 0.8931 6.7400 7.1009
```

***

Entry 2
Na3RuCl6 | PBE-GGA | relaxed

Summary:
As for the crystal system: trigonal. The calculation puts the size of the total moment at 0.01 μB per formula unit. The density of states at the Fermi level comes out at 22.06 states/eV per cell.

```
20
Lattice="5.6451 3.2592 4.5336 -5.6451 3.2592 4.5336 0.0000 -6.5184 4.5336" Properties=species:S:1:pos:R:3 pbc="T T T"
Na -3.8085 -1.1567 6.3398
Na -0.9025 -3.8766 7.2609
Na -2.9060 2.7199 7.2609
Na 2.9060 -2.7199 6.3398
Na 0.9025 3.8766 6.3398
Na 3.8085 1.1567 7.2609
Ru 0.0000 0.0000 0.0000
Ru 0.0000 0.0000 6.8004
Cl -3.7461 -3.6246 7.6630
Cl -5.0120 1.4320 5.9377
Cl -1.1520 -1.6156 5.4601
Cl 1.2659 -5.0565 5.9377
Cl -0.8231 1.8055 5.4601
Cl -1.9752 0.1899 8.1407
Cl 1.9752 -0.1899 5.4601
Cl 0.8231 -1.8055 8.1407
Cl -1.2659 5.0565 7.6630
Cl 1.1521 1.6156 8.1407
Cl 5.0121 -1.4320 7.6630
Cl 3.7462 3.6246 5.9377
```

***

Stability verdict: entry 2, ahead by 7 meV/atom

***

Entry 1
NaRuSCl2 | PBE-GGA | relaxed

Summary:
As for the crystal system: tetragonal. The calculation puts the size of the total moment at 5.01 μB per formula unit. The density of states at the Fermi level comes out at 4.11 states/eV per cell.

```
5
Lattice="4.8707 0.0000 0.0000 0.0000 4.8707 0.0000 0.0000 0.0000 5.1704" Properties=species:S:1:pos:R:3 pbc="T T T"
Na 0.0000 0.0000 0.0000
Ru 2.4353 2.4353 2.5852
S 0.0000 0.0000 2.5852
Cl 0.0000 2.4353 0.0000
Cl 2.4353 0.0000 0.0000
```

***

Entry 2
NaRuSCl2 | PBE-GGA | relaxed

Summary:
As for the crystal system: tetragonal. The calculation puts the size of the total moment at 0.00 μB per formula unit. The density of states at the Fermi level comes out at 3.69 states/eV per cell.

```
5
Lattice="5.0902 0.0000 0.0000 0.0000 5.0902 0.0000 0.0000 0.0000 4.3884" Properties=species:S:1:pos:R:3 pbc="T T T"
Na 0.0000 0.0000 0.0000
Ru 2.5451 2.5451 2.1942
S 2.5451 2.5451 0.0000
Cl 0.0000 2.5451 2.1942
Cl 2.5451 0.0000 2.1942
```

***

Stability verdict: entry 2, ahead by 1214 meV/atom

***

Entry 1
NaScS2Cl | PBE-GGA | relaxed

Summary:
As for the crystal system: tetragonal. The calculation puts the size of the total moment at 0.39 μB per formula unit. The density of states at the Fermi level comes out at 3.64 states/eV per cell.

```
5
Lattice="4.9287 0.0000 0.0000 0.0000 4.9287 0.0000 0.0000 0.0000 5.1807" Properties=species:S:1:pos:R:3 pbc="T T T"
Na 0.0000 0.0000 0.0000
Sc 2.4643 2.4643 2.5904
S 0.0000 2.4643 2.5904
S 2.4643 0.0000 2.5904
Cl 2.4643 2.4643 0.0000
```

***

Entry 2
NaScS2Cl | PBE-GGA | relaxed

Summary:
As for the crystal system: tetragonal. The calculation puts the size of the total moment at 0.94 μB per formula unit. The density of states at the Fermi level comes out at 2.61 states/eV per cell.

```
5
Lattice="4.8822 0.0000 0.0000 0.0000 4.8822 0.0000 0.0000 0.0000 4.7069" Properties=species:S:1:pos:R:3 pbc="T T T"
Na 0.0000 0.0000 0.0000
Sc 2.4411 2.4411 2.3534
S 0.0000 2.4411 0.0000
S 2.4411 0.0000 0.0000
Cl 0.0000 0.0000 2.3534
```

***

Stability verdict: entry 1, ahead by 1065 meV/atom

***

Entry 1
NaSeSCl2 | PBE-GGA | relaxed

Summary:
As for the crystal system: tetragonal. The calculation puts the size of the total moment at 0.00 μB per formula unit. The density of states at the Fermi level comes out at 1.72 states/eV per cell.

```
5
Lattice="5.1305 0.0000 0.0000 0.0000 5.1305 0.0000 0.0000 0.0000 4.9015" Properties=species:S:1:pos:R:3 pbc="T T T"
Na 0.0000 0.0000 0.0000
Se 2.5652 2.5652 2.4507
S 2.5652 2.5652 0.0000
Cl 0.0000 2.5652 2.4507
Cl 2.5652 0.0000 2.4507
```

***

Entry 2
NaSeSCl2 | PBE-GGA | relaxed

Summary:
As for the crystal system: tetragonal. The calculation puts the size of the total moment at 0.86 μB per formula unit. The density of states at the Fermi level comes out at 4.43 states/eV per cell.

```
5
Lattice="5.0673 0.0000 0.0000 0.0000 5.0673 0.0000 0.0000 0.0000 5.3786" Properties=species:S:1:pos:R:3 pbc="T T T"
Na 0.0000 0.0000 0.0000
Se 2.5337 2.5337 2.6893
S 0.0000 0.0000 2.6893
Cl 0.0000 2.5337 0.0000
Cl 2.5337 0.0000 0.0000
```

***

Stability verdict: entry 1, ahead by 750 meV/atom

***

Entry 1
NaSiSCl2 | PBE-GGA | relaxed

Summary:
As for the crystal system: tetragonal. The calculation puts the size of the total moment at 0.00 μB per formula unit. The density of states at the Fermi level comes out at 0.70 states/eV per cell.

```
5
Lattice="4.9866 0.0000 0.0000 0.0000 4.9866 0.0000 0.0000 0.0000 4.5177" Properties=species:S:1:pos:R:3 pbc="T T T"
Na 0.0000 0.0000 0.0000
Si 2.4933 2.4933 2.2588
S 2.4933 2.4933 0.0000
Cl 0.0000 2.4933 2.2588
Cl 2.4933 0.0000 2.2588
```

***

Entry 2
NaSiSCl2 | PBE-GGA | relaxed

Summary:
As for the crystal system: tetragonal. The calculation puts the size of the total moment at 1.01 μB per formula unit. The density of states at the Fermi level comes out at 2.13 states/eV per cell.

```
5
Lattice="4.8664 0.0000 0.0000 0.0000 4.8664 0.0000 0.0000 0.0000 5.2439" Properties=species:S:1:pos:R:3 pbc="T T T"
Na 0.0000 0.0000 0.0000
Si 2.4332 2.4332 2.6219
S 0.0000 0.0000 2.6219
Cl 0.0000 2.4332 0.0000
Cl 2.4332 0.0000 0.0000
```

***

Stability verdict: entry 1, ahead by 959 meV/atom

***

Entry 1
NaSiS2Cl | PBE-GGA | relaxed

Summary:
As for the crystal system: tetragonal. The calculation puts the size of the total moment at 1.54 μB per formula unit. The density of states at the Fermi level comes out at 5.43 states/eV per cell.

```
5
Lattice="4.9698 0.0000 0.0000 0.0000 4.9698 0.0000 0.0000 0.0000 4.8757" Properties=species:S:1:pos:R:3 pbc="T T T"
Na 0.0000 0.0000 0.0000
Si 2.4849 2.4849 2.4378
S 0.0000 2.4849 0.0000
S 2.4849 0.0000 0.0000
Cl 0.0000 0.0000 2.4378
```

***

Entry 2
NaSiS2Cl | PBE-GGA | relaxed

Summary:
As for the crystal system: tetragonal. The calculation puts the size of the total moment at 0.00 μB per formula unit. The density of states at the Fermi level comes out at 0.50 states/eV per cell.

```
5
Lattice="4.5001 0.0000 0.0000 0.0000 4.5001 0.0000 0.0000 0.0000 5.2240" Properties=species:S:1:pos:R:3 pbc="T T T"
Na 0.0000 0.0000 0.0000
Si 2.2500 2.2500 2.6120
S 0.0000 2.2500 2.6120
S 2.2500 0.0000 2.6120
Cl 2.2500 2.2500 0.0000
```

***

Stability verdict: entry 2, ahead by 1201 meV/atom